Here is an optimized crystal structure of TiW2Br from Alexandria via LeMat-Bulk. Energies are from GGA-PBE.

Unit cell a=6.4181 b=6.4181 c=6.4181 alpha=90.00 beta=90.00 gamma=90.00
Closest atoms and distances in Å follow each position.
Space group Fm-3m (No. 225)
Symmetry-distinct sites (fractional):
Ti1 0.0000 0.0000 0.0000 [4 per cell]  8 W 2.78
W1 0.2500 0.2500 0.2500 [8 per cell]  4 Br 2.78, 4 Ti 2.78
Br1 0.0000 0.0000 0.5000 [4 per cell]  8 W 2.78

Values from the calculation:
D(E_F): 4.4 states/eV/f.u.
Size of the total moment: 0.0 Bohr magnetons per cell
Formation energy from raw total energies: 1.114 eV/atom
Calculated volume: 264 Å³ per cell



Here is an optimized crystal structure of Dy3AlSi6Ni2 from Alexandria via LeMat-Bulk. Energies are from GGA-PBE.

Unit cell a=5.5993 b=5.5993 c=8.1796 alpha=90.00 beta=90.00 gamma=120.00
Closest atoms and distances in Å follow each position.
Space group P-3m1 (No. 164)
Symmetry-distinct sites (fractional):
Dy1 0.0000 0.0000 0.0000 [1 per cell]  6 Si 2.88
Dy2 0.3333 0.6667 0.6021 [2 per cell]  9 Si 2.99-3.04, 3 Al 3.34
Al1 0.0000 0.0000 0.5000 [1 per cell]  6 Si 2.60
Si1 0.1879 0.3759 0.2727 [6 per cell]  1 Ni 2.32, 2 Si 2.44
Ni1 0.3333 0.6667 0.0480 [2 per cell]  3 Si 2.32

Values from the calculation:
D(E_F): 3.4 states/eV/f.u.
Size of the total moment: 0.0 Bohr magnetons per cell
Formation energy from raw total energies: -0.286 eV/atom
Calculated volume: 222 Å³ per cell



Here is an optimized crystal structure of Tb2NdY3 from Alexandria via LeMat-Bulk. Energies are from GGA-PBE.

Unit cell a=7.2174 b=17.4954 c=6.3875 alpha=90.00 beta=90.00 gamma=90.00
Closest atoms and distances in Å follow each position.
Space group Imma (No. 74)
Symmetry-distinct sites (fractional):
Tb1 0.2500 0.1048 0.2500 [8 per cell]  8 Y 3.49-3.73, 2 Nd 3.52, 2 Tb 3.61
Nd1 0.0000 0.2500 0.5046 [4 per cell]  2 Y 3.16-3.23, 4 Tb 3.52
Y1 0.0000 0.0659 0.7497 [8 per cell]  6 Tb 3.49-3.73, 1 Nd 3.58, 3 Y 3.59-3.61
Y2 0.0000 0.2500 0.9988 [4 per cell]  2 Nd 3.16-3.23, 4 Tb 3.51

Values from the calculation:
D(E_F): 8.7 states/eV/f.u.
ΔH_f (0 K): 147 meV per atom
Size of the total moment: 0.0 Bohr magnetons per cell
Calculated volume: 807 Å³ per cell